This record from the Alexandria database describes an optimized crystal structure of Sb3Ir. The functional is PBE.

The space group is Pm-3m (No. 221) and the conventional cell measures 4.499, 4.499 and 4.499 Å, with angles of 90.00, 90.00 and 90.00 degrees. The asymmetric unit holds Sb at (0.000, 0.000, 0.500) and Ir at (0.500, 0.500, 0.500).

The value obtained for the final energy is -19.2 eV per cell. Its energy above the most stable polymorph in this dataset is 3.38 eV/f.u.


This record from the Alexandria database describes an optimized crystal structure of SbIr3. The functional is PBE.

The space group is Immm (No. 71) and the conventional cell measures 2.838, 4.820 and 9.527 Å, with angles of 90.00, 90.00 and 90.00 degrees. The asymmetric unit holds Sb at (0.000, 0.000, 0.000), Ir at (0.000, 0.000, 0.500) and Ir at (0.000, 0.500, 0.250).

The value obtained for the final energy is -58.6 eV per cell.


This record from the Alexandria database describes an optimized crystal structure of Sb3Ir. The functional is PBE.

The space group is Pm-3n (No. 223) and the conventional cell measures 5.714, 5.714 and 5.714 Å, with angles of 90.00, 90.00 and 90.00 degrees. The asymmetric unit holds Sb at (0.000, 0.250, 0.500) and Ir at (0.000, 0.000, 0.000).

The value obtained for the final energy is -38.1 eV per cell. Its energy above the most stable polymorph in this dataset is 3.57 eV/f.u.


This record from the Alexandria database describes an optimized crystal structure of SbIr3. The functional is PBE.

The space group is I4/mmm (No. 139) and the conventional cell measures 4.057, 4.057 and 7.760 Å, with angles of 90.00, 90.00 and 90.00 degrees. The asymmetric unit holds Sb at (0.000, 0.000, 0.000), Ir at (0.000, 0.000, 0.500) and Ir at (0.000, 0.500, 0.250).

The value obtained for the final energy is -59.4 eV per cell.


This record from the Alexandria database describes an optimized crystal structure of Sb2Ir. The functional is PBE.

The space group is P-3m1 (No. 164) and the conventional cell measures 3.8055, 3.8055 and 5.6087 Å, with angles of 90.00, 90.00 and 120.00 degrees. The asymmetric unit holds Sb at (0.3333, 0.6667, 0.2734) and Ir at (0.0000, 0.0000, 0.0000).

The value obtained for the final energy is -17.4 eV per cell.


This record from the Alexandria database describes an optimized crystal structure of Sb4Ir. The functional is PBE.

The space group is Im-3m (No. 229) and the conventional cell measures 6.483, 6.483 and 6.483 Å, with angles of 90.00, 90.00 and 90.00 degrees. The asymmetric unit holds Sb at (0.250, 0.250, 0.250) and Ir at (0.000, 0.000, 0.000).

The value obtained for the final energy is -47.8 eV per cell. Its energy above the most stable polymorph in this dataset is 0.00 eV/f.u.


Number 1: raw formation energy 0.499 eV/atom, total magnetization 0.000 μB per cell. Number 2: raw formation energy 0.348 eV/atom, total magnetization 0.000 μB per cell. Number 3: raw formation energy 0.548 eV/atom, total magnetization 0.000 μB per cell. Number 4: raw formation energy 0.249 eV/atom, total magnetization 0.000 μB per cell. Number 5: raw formation energy -0.103 eV/atom, total magnetization 0.000 μB per cell. Number 6: raw formation energy 0.289 eV/atom, total magnetization 0.000 μB per cell.